[1]
Pb8Se: relaxed, PBE-GGA.

## Properties
Total magnetization in μB per formula unit: 0.00
Formation energy without anion corrections in eV/atom: 0.00
Density in g cm⁻³: 10.5

The structure in POSCAR format:
```
Pb8Se
1.0
-5.1131 5.1131 2.6386
5.1131 -5.1131 2.6386
5.1131 5.1131 -2.6386
Pb Se
8 1
Direct
0.6678 0.3322 0.0000
0.3322 0.6678 0.0000
0.0000 0.6787 0.6787
0.3322 0.3322 0.6645
0.6787 0.0000 0.6787
0.6678 0.6678 0.3355
0.0000 0.3213 0.3213
0.3213 0.0000 0.3213
0.0000 0.0000 0.0000
```


[2]
PbSe4: relaxed, PBE-GGA.

## Properties
Total magnetization in μB per formula unit: 2.59
Formation energy without anion corrections in eV/atom: 0.86
ΔE to the lowest computed polymorph in meV per atom: 356
Density in g cm⁻³: 5.3

The structure in POSCAR format:
```
PbSe4
1.0
5.4876 0.0000 0.0000
0.0000 5.4876 0.0000
0.0000 0.0000 5.4876
Pb Se
1 4
Direct
0.5000 0.5000 0.5000
0.0000 0.0000 0.0000
0.5000 0.0000 0.5000
0.0000 0.5000 0.5000
0.5000 0.5000 0.0000
```


[3]
PbSe: relaxed, PBE-GGA.

## Properties
Total magnetization in μB per formula unit: 0.00
Formation energy without anion corrections in eV/atom: -0.36
Density in g cm⁻³: 6.6

The structure in POSCAR format:
```
PbSe
1.0
-2.6665 -3.1251 -0.2061
3.8411 -0.6573 1.3164
-2.8447 1.8200 9.2091
Pb Se
2 2
Direct
0.0000 0.0000 0.9591
0.6667 0.3333 0.2909
0.0000 0.0000 0.4474
0.6667 0.3333 0.8026
```


[4]
PbSe2: relaxed, PBE-GGA.

## Properties
Total magnetization in μB per formula unit: 0.00
Formation energy without anion corrections in eV/atom: 0.14
Density in g cm⁻³: 6.5

The structure in POSCAR format:
```
PbSe2
1.0
5.5091 0.0000 0.0000
0.0000 5.5091 0.0000
0.0000 0.0000 3.0662
Pb Se
1 2
Direct
0.0000 0.0000 0.0000
0.0000 0.5000 0.5000
0.5000 0.0000 0.5000
```


[5]
Pb5Se6: relaxed, PBE-GGA.

## Properties
Total magnetization in μB per formula unit: 0.00
Formation energy without anion corrections in eV/atom: -0.41
Density in g cm⁻³: 7.4

The structure in POSCAR format:
```
Pb5Se6
1.0
7.3944 0.2397 -1.0417
1.7658 6.3035 -3.5546
-0.1829 -0.1573 7.4354
Pb Se
5 6
Direct
0.5000 0.5000 0.0000
0.0000 0.6652 0.3305
0.0000 0.3348 0.6695
0.5000 0.8333 0.6666
0.5000 0.1667 0.3334
0.7566 0.7413 0.0000
0.2434 0.2587 0.0000
0.7446 0.0868 0.6594
0.2554 0.5726 0.6594
0.2554 0.9132 0.3406
0.7446 0.4274 0.3406
```


[6]
PbSe: relaxed, PBE-GGA.

## Properties
Total magnetization in μB per formula unit: 0.00
Formation energy without anion corrections in eV/atom: -0.49
Density in g cm⁻³: 7.6

The structure in POSCAR format:
```
PbSe
1.0
6.3888 0.0135 0.0227
4.9280 4.0659 0.0227
3.3715 1.2153 7.2212
Pb Se
3 3
Direct
0.9299 0.9299 0.0231
0.7523 0.7523 0.6607
0.5932 0.5932 0.3171
0.3618 0.3618 0.2991
0.0064 0.0064 0.5912
0.1898 0.1898 0.9421
```


[7]
PbSe: relaxed, PBE-GGA.

## Properties
Total magnetization in μB per formula unit: 0.00
Formation energy without anion corrections in eV/atom: -0.52
Density in g cm⁻³: 8.0

The structure in POSCAR format:
```
PbSe
1.0
4.3226 0.0000 -0.0078
0.0000 4.4828 0.0000
-2.1723 0.0000 6.1520
Pb Se
2 2
Direct
0.1313 0.7500 0.2652
0.8687 0.2500 0.7348
0.3647 0.7500 0.7280
0.6353 0.2500 0.2720
```


[8]
PbSe: relaxed, PBE-GGA.

## Properties
Total magnetization in μB per formula unit: 0.00
Formation energy without anion corrections in eV/atom: -0.39
Density in g cm⁻³: 5.8

The structure in POSCAR format:
```
PbSe
1.0
4.8697 0.0000 0.0000
2.4349 4.2173 0.0000
2.4349 1.4058 3.9761
Pb Se
1 1
Direct
0.0000 0.0000 0.0000
0.7500 0.7500 0.7500
```


[9]
PbSe2: relaxed, PBE-GGA.

## Properties
Total magnetization in μB per formula unit: 0.00
Formation energy without anion corrections in eV/atom: -0.30
Density in g cm⁻³: 6.2

The structure in POSCAR format:
```
PbSe2
1.0
4.6095 0.0000 0.0000
0.0000 5.7704 0.0000
0.0000 0.0000 7.4000
Pb Se
2 4
Direct
0.0000 0.0000 0.0000
0.5000 0.5000 0.5000
0.0000 0.1606 0.6019
0.0000 0.8394 0.3981
0.5000 0.6606 0.8981
0.5000 0.3394 0.1019
```


[10]
PbSe2: relaxed, PBE-GGA.

## Properties
Total magnetization in μB per formula unit: 0.00
Formation energy without anion corrections in eV/atom: -0.22
Density in g cm⁻³: 6.7

The structure in POSCAR format:
```
PbSe2
1.0
-6.1618 -8.9059 0.7802
-9.5083 -4.4743 2.7321
6.8380 7.1406 -4.4884
Pb Se
2 4
Direct
0.0000 0.0000 0.0000
0.7500 0.2500 0.5000
0.5590 0.5590 0.0000
0.1910 0.6910 0.5000
0.4410 0.4410 0.0000
0.3090 0.8090 0.5000
```


[11]
PbSe2: relaxed, PBE-GGA.

## Properties
Total magnetization in μB per formula unit: 0.00
Formation energy without anion corrections in eV/atom: -0.01
Density in g cm⁻³: 8.0

The structure in POSCAR format:
```
PbSe2
1.0
2.6894 -4.6582 0.0000
2.6894 4.6582 0.0000
0.0000 0.0000 6.0150
Pb Se
2 4
Direct
0.3333 0.6667 0.2500
0.6667 0.3333 0.7500
0.0000 0.0000 0.0000
0.0000 0.0000 0.5000
0.3333 0.6667 0.7500
0.6667 0.3333 0.2500
```


[12]
PbSe2: relaxed, PBE-GGA.

## Properties
Total magnetization in μB per formula unit: 0.00
Formation energy without anion corrections in eV/atom: -0.22
Density in g cm⁻³: 6.7

The structure in POSCAR format:
```
PbSe2
1.0
6.5159 -0.5779 0.5361
3.3828 4.4458 0.5310
-4.7257 -1.8222 2.4162
Pb Se
1 2
Direct
0.0000 0.0000 0.0000
0.4922 0.3815 0.1107
0.5078 0.6185 0.8893
```


Look up the formation energy without anion corrections of the first one.
0.00 eV/atom


Among the records above, which one has the highest formation energy without anion corrections?
PbSe4


Which value of total magnetization does entry 6 give?
0.00 μB per formula unit